[1]
Compound: LiScTi
Source: Alexandria
Functional: PBE
Structure: relaxed

a b c (Å): 6.1805 4.5523 8.3588
angles (deg): 90.00 90.00 90.00
Closest atoms and distances in Å follow each position.
Sites, in units of the cell vectors:
1 Li 0.0006 0.2500 0.0759  2 Li 2.61
2 Li 0.4994 0.7500 0.5759  2 Li 2.61
3 Li 0.5006 0.2500 0.4241  2 Li 2.61
4 Li 0.9994 0.7500 0.9241  2 Li 2.61
5 Sc 0.2498 0.2500 0.7502  6 Ti 3.07-3.15, 2 Sc 3.09, 6 Li 3.11-3.14
6 Sc 0.2502 0.7500 0.2502  6 Ti 3.07-3.15, 2 Sc 3.09, 6 Li 3.11-3.14
7 Sc 0.7498 0.2500 0.7498  6 Ti 3.07-3.15, 2 Sc 3.09, 6 Li 3.11-3.14
8 Sc 0.7502 0.7500 0.2498  6 Ti 3.07-3.15, 2 Sc 3.09, 6 Li 3.11-3.14
9 Ti 0.0004 0.2500 0.4329  2 Ti 2.54
10 Ti 0.9996 0.7500 0.5671  2 Ti 2.54
11 Ti 0.5004 0.2500 0.0671  2 Ti 2.54
12 Ti 0.4996 0.7500 0.9329  2 Ti 2.54

Calculated values
- DOS(E_F): 0.898 states/eV per atom
- Energy relative to the lowest polymorph listed for this composition: 139 meV/atom
- Size of the total moment: 0.00 μB per atom
- Calculated density: 2.82 Mg/m³
- Calculated volume: 235.18 Å³/cell
- ΔH_f (0 K): 0.22 eV per atom

[2]
Compound: Li2ScTi2
Source: Alexandria
Functional: PBE
Structure: relaxed

a b c (Å): 7.9504 7.9504 2.8002
angles (deg): 90.00 90.00 90.00
Closest atoms and distances in Å follow each position.
Sites, in units of the cell vectors:
1 Li 0.1186 0.3814 0.0000  3 Li 2.67-2.80, 6 Ti 2.68-2.79
2 Li 0.3814 0.8814 0.0000  3 Li 2.67-2.80, 6 Ti 2.68-2.79
3 Li 0.6186 0.1186 0.0000  3 Li 2.67-2.80, 6 Ti 2.68-2.79
4 Li 0.8814 0.6186 0.0000  3 Li 2.67-2.80, 6 Ti 2.68-2.79
5 Sc 0.0000 0.0000 0.0000  2 Sc 2.80
6 Sc 0.5000 0.5000 0.0000  2 Sc 2.80
7 Ti 0.1783 0.6783 0.5000  6 Li 2.68-2.79, 2 Ti 2.80
8 Ti 0.3217 0.1783 0.5000  6 Li 2.68-2.79, 2 Ti 2.80
9 Ti 0.6783 0.8217 0.5000  6 Li 2.68-2.79, 2 Ti 2.80
10 Ti 0.8217 0.3217 0.5000  6 Li 2.68-2.79, 2 Ti 2.80

Calculated values
- DOS(E_F): 0.603 states/eV per atom
- Energy relative to the lowest polymorph listed for this composition: 0 meV/atom
- Size of the total moment: 0.00 μB per atom
- Calculated density: 2.90 Mg/m³
- Calculated volume: 177.00 Å³/cell
- ΔH_f (0 K): 0.42 eV per atom

[3]
Compound: Li2ScTi
Source: Alexandria
Functional: PBE
Structure: relaxed

a b c (Å): 5.9233 5.9233 5.9233
angles (deg): 101.53 101.53 126.90
Closest atoms and distances in Å follow each position.
Sites, in units of the cell vectors:
1 Li 0.1164 0.6250 0.9914  2 Li 2.65, 2 Ti 2.69, 2 Sc 2.78
2 Li 0.3750 0.3664 0.4914  2 Li 2.65, 2 Ti 2.69, 2 Sc 2.78
3 Li 0.6336 0.1250 0.0086  2 Li 2.65, 2 Ti 2.69, 2 Sc 2.78
4 Li 0.8750 0.8836 0.5086  2 Li 2.65, 2 Ti 2.69, 2 Sc 2.78
5 Sc 0.2500 0.7500 0.5000  2 Ti 2.65, 4 Li 2.78
6 Sc 0.5000 0.5000 0.0000  2 Ti 2.65, 4 Li 2.78
7 Ti 0.0000 0.0000 0.0000  2 Sc 2.65, 4 Li 2.69
8 Ti 0.7500 0.2500 0.5000  2 Sc 2.65, 4 Li 2.69

Calculated values
- DOS(E_F): 1.195 states/eV per atom
- Energy relative to the lowest polymorph listed for this composition: 164 meV/atom
- Size of the total moment: 0.00 μB per atom
- Calculated density: 2.38 Mg/m³
- Calculated volume: 148.66 Å³/cell
- ΔH_f (0 K): 0.54 eV per atom

[4]
Compound: LiScTi2
Source: Alexandria
Functional: PBE
Structure: relaxed

a b c (Å): 4.7144 4.7144 4.7144
angles (deg): 60.00 60.00 60.00
Closest atoms and distances in Å follow each position.
Sites, in units of the cell vectors:
1 Li 0.0000 0.0000 0.0000  8 Ti 2.89
2 Sc 0.5000 0.5000 0.5000  8 Ti 2.89
3 Ti 0.2500 0.2500 0.2500  4 Li 2.89, 4 Sc 2.89
4 Ti 0.7500 0.7500 0.7500  4 Sc 2.89, 4 Li 2.89

Calculated values
- DOS(E_F): 1.742 states/eV per atom
- Energy relative to the lowest polymorph listed for this composition: 0 meV/atom
- Size of the total moment: 0.40 μB per atom
- Calculated density: 3.31 Mg/m³
- Calculated volume: 74.09 Å³/cell
- ΔH_f (0 K): 0.46 eV per atom

[5]
Compound: LiScTi
Source: Alexandria
Functional: PBE
Structure: relaxed

a b c (Å): 6.8614 6.8614 6.8614
angles (deg): 154.36 154.36 36.58
Closest atoms and distances in Å follow each position.
Sites, in units of the cell vectors:
1 Li 0.0000 0.0000 0.0000  4 Ti 3.03, 4 Li 3.04, 4 Sc 3.23
2 Sc 0.3149 0.3149 0.0000  4 Ti 2.92, 4 Sc 3.04, 4 Li 3.23
3 Ti 0.6631 0.6631 0.0000  4 Sc 2.92, 4 Li 3.03, 4 Ti 3.04

Calculated values
- DOS(E_F): 1.285 states/eV per atom
- Energy relative to the lowest polymorph listed for this composition: 105 meV/atom
- Size of the total moment: 0.00 μB per atom
- Calculated density: 2.74 Mg/m³
- Calculated volume: 60.40 Å³/cell
- ΔH_f (0 K): 0.18 eV per atom

[6]
Compound: LiScTi
Source: Alexandria
Functional: PBE
Structure: relaxed

a b c (Å): 5.6102 5.6102 7.4377
angles (deg): 106.57 106.57 31.67
Closest atoms and distances in Å follow each position.
Sites, in units of the cell vectors:
1 Li 0.0410 0.0410 0.2715  4 Ti 2.87-3.00, 5 Sc 2.98-3.08, 2 Li 3.06
2 Li 0.9590 0.9590 0.7285  4 Ti 2.87-3.00, 5 Sc 2.98-3.08, 2 Li 3.06
3 Sc 0.3294 0.3294 0.3607  3 Ti 2.98-3.04, 5 Li 2.98-3.08, 2 Sc 3.06
4 Sc 0.6706 0.6706 0.6393  3 Ti 2.98-3.04, 5 Li 2.98-3.08, 2 Sc 3.06
5 Ti 0.3477 0.3477 0.9687  4 Ti 2.76-3.06, 4 Li 2.87-3.00, 3 Sc 2.98-3.04
6 Ti 0.6523 0.6523 0.0313  4 Ti 2.76-3.06, 4 Li 2.87-3.00, 3 Sc 2.98-3.04

Calculated values
- DOS(E_F): 0.882 states/eV per atom
- Energy relative to the lowest polymorph listed for this composition: 130 meV/atom
- Size of the total moment: 0.00 μB per atom
- Calculated density: 2.82 Mg/m³
- Calculated volume: 117.38 Å³/cell
- ΔH_f (0 K): 0.21 eV per atom